No. 1
Below is Sr2CaAl3Au4 after structural relaxation, with properties calculated at the PBE level.

Output
As for the total DFT energy (no corrections): -0.26463 Ry per atom.

Cell: 4.643 4.643 11.043 Å, 90.00 90.00 90.00°
Element x y z (fractional)
1 Sr 0.500 0.000 0.229
2 Sr 0.000 0.500 0.771
3 Ca 0.500 0.500 0.500
4 Al 0.000 0.000 0.500
5 Al 0.500 0.000 0.888
6 Al 0.000 0.500 0.112
7 Au 0.500 0.500 0.000
8 Au 0.000 0.000 0.000
9 Au 0.500 0.000 0.656
10 Au 0.000 0.500 0.344

No. 2
Below is NaTbPt4 after structural relaxation, with properties calculated at the PBE level.

Output
As for the total DFT energy (no corrections): -0.42919 Ry per atom.

Cell: 5.398 5.398 5.398 Å, 60.00 60.00 60.00°
Element x y z (fractional)
1 Na 0.000 0.000 0.000
2 Tb 0.250 0.250 0.250
3 Pt 0.625 0.625 0.124
4 Pt 0.625 0.124 0.625
5 Pt 0.625 0.625 0.625
6 Pt 0.124 0.625 0.625

No. 3
Below is Ac2Pr4Ho3 after structural relaxation, with properties calculated at the PBE level.

Output
As for the total DFT energy (no corrections): -0.32969 Ry per atom. The relative energy among the computed polymorphs comes out at 35 meV per atom.

Cell: 3.732 3.732 27.602 Å, 90.00 90.00 120.00°
Element x y z (fractional)
1 Ac 0.667 0.333 0.090
2 Ac 0.667 0.333 0.872
3 Pr 0.000 0.000 0.545
4 Pr 0.667 0.333 0.433
5 Pr 0.667 0.333 0.226
6 Pr 0.000 0.000 0.753
7 Ho 0.000 0.000 0.982
8 Ho 0.000 0.000 0.328
9 Ho 0.667 0.333 0.649

No. 4
Below is HgTe2AuN after structural relaxation, with properties calculated at the PBE level.

Output
The formation energy from raw total energies is 1.33 eV per atom. As for the total DFT energy (no corrections): -0.16983 Ry per atom. The relative energy among the computed polymorphs comes out at 434 meV per atom.

Cell: 5.801 5.801 3.989 Å, 90.00 90.00 90.00°
Element x y z (fractional)
1 Te 0.000 0.500 0.000
2 Te 0.500 0.000 0.000
3 Au 0.500 0.500 0.500
4 Hg 0.000 0.000 0.000
5 N 0.000 0.000 0.500

No. 5
Below is MnIn2Cl8 after structural relaxation, with properties calculated at the PBE level.

Output
The formation energy from raw total energies is -0.88 eV per atom. As for the total DFT energy (no corrections): -0.26151 Ry per atom. The relative energy among the computed polymorphs comes out at 124 meV per atom.

Cell: 6.399 8.439 8.439 Å, 47.89 92.84 92.84°
Element x y z (fractional)
1 Mn 0.000 0.000 0.000
2 In 0.541 0.856 0.856
3 In 0.459 0.144 0.144
4 Cl 0.234 0.289 0.822
5 Cl 0.766 0.178 0.711
6 Cl 0.156 0.867 0.867
7 Cl 0.844 0.133 0.133
8 Cl 0.234 0.822 0.289
9 Cl 0.766 0.711 0.178
10 Cl 0.606 0.705 0.705
11 Cl 0.394 0.295 0.295

No. 6
Below is CaCrS2Cl after structural relaxation, with properties calculated at the PBE level.

Output
The formation energy from raw total energies is -1.03 eV per atom. As for the total DFT energy (no corrections): -0.39521 Ry per atom. The relative energy among the computed polymorphs comes out at 0 meV per atom.

Cell: 4.724 4.724 4.692 Å, 90.00 90.00 90.00°
Element x y z (fractional)
1 Cr 0.000 0.000 0.000
2 Ca 0.500 0.500 0.500
3 S 0.000 0.500 0.000
4 S 0.500 0.000 0.000
5 Cl 0.000 0.000 0.500

No. 7
Below is MgCuSb after structural relaxation, with properties calculated at the PBE level.

Output
The formation energy from raw total energies is 0.07 eV per atom. As for the total DFT energy (no corrections): -0.23515 Ry per atom.

Cell: 3.359 3.359 6.344 Å, 90.00 90.00 120.00°
Element x y z (fractional)
1 Cu 0.000 0.000 0.002
2 Mg 0.333 0.667 0.297
3 Sb 0.667 0.333 0.701

No. 8
Below is KCrHg2 after structural relaxation, with properties calculated at the PBE level.

Output
As for the total DFT energy (no corrections): -0.17826 Ry per atom. The relative energy among the computed polymorphs comes out at 175 meV per atom.

Cell: 6.060 6.060 6.060 Å, 135.12 135.12 65.34°
Element x y z (fractional)
1 Cr 0.750 0.250 0.500
2 Hg 0.000 0.000 0.000
3 Hg 0.250 0.750 0.500
4 K 0.500 0.500 0.000

No. 9
Below is Tl3Hg4Sb2 after structural relaxation, with properties calculated at the PBE level.

Output
The formation energy from raw total energies is 0.04 eV per atom. As for the total DFT energy (no corrections): -0.13236 Ry per atom.

Cell: 9.539 19.506 10.901 Å, 26.53 69.34 90.00°
Element x y z (fractional)
1 Tl 0.898 0.789 0.243
2 Tl 0.602 0.032 0.757
3 Tl 0.102 0.211 0.757
4 Tl 0.398 0.968 0.243
5 Tl 0.250 0.479 0.000
6 Tl 0.750 0.521 0.000
7 Hg 0.328 0.661 0.176
8 Hg 0.172 0.837 0.824
9 Hg 0.672 0.339 0.824
10 Hg 0.828 0.163 0.176
11 Hg 0.074 0.565 0.658
12 Hg 0.426 0.223 0.342
13 Hg 0.926 0.435 0.342
14 Hg 0.574 0.777 0.658
15 Sb 0.494 0.568 0.519
16 Sb 0.006 0.087 0.481
17 Sb 0.506 0.432 0.481
18 Sb 0.994 0.913 0.519

No. 10
Below is TaFe2PtRh after structural relaxation, with properties calculated at the PBE level.

Output
As for the total DFT energy (no corrections): -0.50096 Ry per atom.

Cell: 4.416 4.843 4.416 Å, 90.00 90.00 90.00°
Element x y z (fractional)
1 Rh 0.500 0.500 0.500
2 Fe 0.000 0.000 0.500
3 Fe 0.500 0.000 0.000
4 Pt 0.000 0.000 0.000
5 Ta 0.000 0.500 0.000

No. 11
Below is LiIn2Bi after structural relaxation, with properties calculated at the PBE level.

Output
As for the total DFT energy (no corrections): -0.21141 Ry per atom.

Cell: 9.541 9.541 7.281 Å, 49.06 49.06 90.00°
Element x y z (fractional)
1 Li 0.500 0.500 0.000
2 Li 0.250 0.750 0.500
3 Bi 0.000 0.000 0.000
4 Bi 0.750 0.250 0.500
5 In 0.684 0.125 0.250
6 In 0.066 0.625 0.250
7 In 0.375 0.316 0.750
8 In 0.875 0.934 0.750

No. 12
Below is Ac2Al3Zn5 after structural relaxation, with properties calculated at the PBE level.

Output
As for the total DFT energy (no corrections): -0.21619 Ry per atom. The relative energy among the computed polymorphs comes out at 0 meV per atom.

Cell: 6.313 8.864 8.864 Å, 74.80 69.14 69.14°
Element x y z (fractional)
1 Ac 0.125 0.617 0.133
2 Ac 0.625 0.133 0.617
3 Ac 0.875 0.383 0.867
4 Ac 0.375 0.867 0.383
5 Al 0.370 0.508 0.753
6 Al 0.870 0.753 0.508
7 Al 0.630 0.492 0.247
8 Al 0.130 0.247 0.492
9 Al 0.250 0.000 0.000
10 Al 0.750 0.000 0.000
11 Zn 0.378 0.259 0.984
12 Zn 0.878 0.984 0.259
13 Zn 0.622 0.741 0.016
14 Zn 0.122 0.016 0.741
15 Zn 0.487 0.763 0.763
16 Zn 0.513 0.237 0.237
17 Zn 0.750 0.500 0.500
18 Zn 0.250 0.500 0.500
19 Zn 0.013 0.237 0.237
20 Zn 0.987 0.763 0.763

No. 13
Below is LiAcLuRu after structural relaxation, with properties calculated at the PBE level.

Output
As for the total DFT energy (no corrections): -0.37362 Ry per atom.

Cell: 5.085 5.085 5.085 Å, 60.00 60.00 60.00°
Element x y z (fractional)
1 Ru 0.750 0.750 0.750
2 Ac 0.000 0.000 0.000
3 Lu 0.500 0.500 0.500
4 Li 0.250 0.250 0.250

No. 14
Below is Ba2SrLi2Bi2 after structural relaxation, with properties calculated at the PBE level.

Output
As for the total DFT energy (no corrections): -0.22837 Ry per atom.

Cell: 4.924 4.924 13.314 Å, 79.34 79.34 60.00°
Element x y z (fractional)
1 Ba 0.116 0.116 0.652
2 Ba 0.884 0.884 0.348
3 Sr 0.000 0.000 0.000
4 Li 0.615 0.615 0.155
5 Li 0.385 0.385 0.845
6 Bi 0.722 0.722 0.835
7 Bi 0.278 0.278 0.165

No. 15
Below is Pm5AlGe4 after structural relaxation, with properties calculated at the PBE level.

Output
As for the total DFT energy (no corrections): -0.37400 Ry per atom.

Cell: 5.015 7.158 10.938 Å, 132.79 103.25 90.00°
Element x y z (fractional)
1 Pm 0.854 0.706 0.708
2 Pm 0.831 0.137 0.662
3 Pm 0.169 0.863 0.338
4 Pm 0.500 0.500 0.000
5 Pm 0.146 0.294 0.292
6 Al 0.500 0.000 0.000
7 Ge 0.319 0.877 0.638
8 Ge 0.993 0.716 0.986
9 Ge 0.681 0.123 0.362
10 Ge 0.007 0.284 0.014

No. 16
Below is Ca2LaNi2 after structural relaxation, with properties calculated at the PBE level.

Output
As for the total DFT energy (no corrections): -0.30162 Ry per atom. The relative energy among the computed polymorphs comes out at 138 meV per atom.

Cell: 4.427 4.427 7.039 Å, 71.67 71.67 90.00°
Element x y z (fractional)
1 Ni 0.409 0.409 0.183
2 Ni 0.591 0.591 0.817
3 Ca 0.750 0.250 0.500
4 Ca 0.250 0.750 0.500
5 La 0.000 0.000 0.000

No. 17
Below is Sr4YSc after structural relaxation, with properties calculated at the PBE level.

Output
As for the total DFT energy (no corrections): -0.19757 Ry per atom.

Cell: 7.215 7.215 7.215 Å, 60.00 60.00 60.00°
Element x y z (fractional)
1 Sr 0.876 0.375 0.375
2 Sr 0.375 0.375 0.876
3 Sr 0.375 0.876 0.375
4 Sr 0.375 0.375 0.375
5 Y 0.750 0.750 0.750
6 Sc 0.000 0.000 0.000

No. 18
Below is CsZnGa2Pt after structural relaxation, with properties calculated at the PBE level.

Output
As for the total DFT energy (no corrections): -0.22678 Ry per atom.

Cell: 4.981 4.981 5.109 Å, 90.00 90.00 90.00°
Element x y z (fractional)
1 Cs 0.500 0.500 0.500
2 Zn 0.000 0.000 0.500
3 Ga 0.000 0.500 0.000
4 Ga 0.500 0.000 0.000
5 Pt 0.000 0.000 0.000

No. 19
Below is TlZnSn2 after structural relaxation, with properties calculated at the PBE level.

Output
As for the total DFT energy (no corrections): -0.20278 Ry per atom. The relative energy among the computed polymorphs comes out at 85 meV per atom.

Cell: 4.364 4.364 11.688 Å, 79.24 79.24 90.00°
Element x y z (fractional)
1 Zn 0.500 0.500 0.000
2 Zn 0.250 0.750 0.500
3 Tl 0.000 0.000 0.000
4 Tl 0.750 0.250 0.500
5 Sn 0.617 0.125 0.250
6 Sn 0.133 0.625 0.250
7 Sn 0.375 0.383 0.750
8 Sn 0.875 0.867 0.750

No. 20
Below is SbTe2P after structural relaxation, with properties calculated at the PBE level.

Output
The formation energy from raw total energies is 0.21 eV per atom. As for the total DFT energy (no corrections): -0.27552 Ry per atom. The relative energy among the computed polymorphs comes out at 47 meV per atom.

Cell: 8.163 8.163 4.123 Å, 75.49 75.49 27.60°
Element x y z (fractional)
1 Sb 0.816 0.816 0.764
2 Te 0.995 0.995 0.019
3 Te 0.229 0.229 0.262
4 P 0.460 0.460 0.455